Rb2PuInI5: optimized geometry, PBE-GGA.

Cell: 6.112 6.112 12.980 Å, 90.00 90.00 90.00°
Space group P4/mmm (No. 123)
Unique sites:
Rb: 0.000 0.000 0.220 (multiplicity 2)
Pu: 0.500 0.500 0.000 (multiplicity 1)
In: 0.500 0.500 0.500 (multiplicity 1)
I: 0.000 0.000 0.500 (multiplicity 1)
I: 0.000 0.500 0.000 (multiplicity 2)
I: 0.500 0.500 0.245 (multiplicity 2)

Magnetic moment, μB/f.u.: 6.011
D(E_F), states/eV/atom: 2.024


Pm2Br3: optimized geometry, PBE-GGA.

Cell: 17.192 4.087 11.226 Å, 90.00 120.56 90.00°
Space group C2/m (No. 12)
Unique sites:
Pm: 0.082 0.000 0.453 (multiplicity 4)
Pm: 0.138 0.500 0.789 (multiplicity 4)
Br: 0.041 0.500 0.237 (multiplicity 4)
Br: 0.160 0.000 0.006 (multiplicity 4)
Br: 0.225 0.500 0.621 (multiplicity 4)

Magnetic moment, μB/f.u.: 0.000


| no. | uncorrected energy (eV per atom) |
| --- | --- |
| 1 | -3.99 |
| 2 | -4.43 |